Entry from OQMD: an optimized crystal structure of Ac3Os2N8 (PBE).

Cell and atoms, written as CIF:
```
data_Ac3Os2N8
_chemical_formula_sum 'Ac9 Os6 N24'
_symmetry_space_group_name_H-M 'R -3 m'
_symmetry_Int_Tables_number 166
_symmetry_space_group_name_Hall '-R 3 2"'
_cell_length_a 5.7585
_cell_length_b 5.7585
_cell_length_c 21.2431
_cell_angle_alpha 90.00
_cell_angle_beta 90.00
_cell_angle_gamma 120.00
loop_
_atom_site_label
_atom_site_type_symbol
_atom_site_fract_x
_atom_site_fract_y
_atom_site_fract_z
Ac1 Ac 0.0000 0.0000 0.0000
Ac2 Ac 0.0000 0.0000 0.2049
Os1 Os 0.0000 0.0000 0.4058
N1 N 0.0000 0.0000 0.3213
N2 N 0.0067 0.5034 0.7691
```

Calculated total energy = -8.35 eV/atom

=====

Entry from OQMD: an optimized crystal structure of Ac5PaN6 (PBE).

Cell and atoms, written as CIF:
```
data_Ac5PaN6
_chemical_formula_sum 'Ac10 Pa2 N12'
_symmetry_space_group_name_H-M 'C 1 2/m 1'
_symmetry_Int_Tables_number 12
_symmetry_space_group_name_Hall '-C 2y'
_cell_length_a 6.6053
_cell_length_b 11.4682
_cell_length_c 6.5680
_cell_angle_alpha 90.00
_cell_angle_beta 109.30
_cell_angle_gamma 90.00
loop_
_atom_site_label
_atom_site_type_symbol
_atom_site_fract_x
_atom_site_fract_y
_atom_site_fract_z
Ac1 Ac 0.0000 0.0000 0.0000
Ac2 Ac 0.0000 0.1672 0.5000
Ac3 Ac 0.0000 0.3367 0.0000
Pa1 Pa 0.0000 0.5000 0.5000
N1 N 0.2180 0.3563 0.7195
N2 N 0.2181 0.5000 0.2647
```

Calculated total energy = -7.89 eV/atom

=====

Entry from OQMD: an optimized crystal structure of AcPa7N12 (PBE).

Cell and atoms, written as CIF:
```
data_AcPa7N12
_chemical_formula_sum 'Ac2 Pa14 N24'
_symmetry_space_group_name_H-M 'I m -3'
_symmetry_Int_Tables_number 204
_symmetry_space_group_name_Hall '-I 2 2 3'
_cell_length_a 8.5552
_cell_length_b 8.5552
_cell_length_c 8.5552
_cell_angle_alpha 90.00
_cell_angle_beta 90.00
_cell_angle_gamma 90.00
loop_
_atom_site_label
_atom_site_type_symbol
_atom_site_fract_x
_atom_site_fract_y
_atom_site_fract_z
Ac1 Ac 0.0000 0.0000 0.0000
Pa1 Pa 0.0000 0.0000 0.5000
Pa2 Pa 0.2500 0.2500 0.2500
N1 N 0.0000 0.3105 0.1806
```

Calculated total energy = -10.04 eV/atom

=====

Entry from OQMD: an optimized crystal structure of AcPaN2 (PBE).

Cell and atoms, written as CIF:
```
data_AcPaN2
_chemical_formula_sum 'Ac3 Pa3 N6'
_symmetry_space_group_name_H-M 'R -3 m'
_symmetry_Int_Tables_number 166
_symmetry_space_group_name_Hall '-R 3 2"'
_cell_length_a 3.6344
_cell_length_b 3.6344
_cell_length_c 18.3256
_cell_angle_alpha 90.00
_cell_angle_beta 90.00
_cell_angle_gamma 120.00
loop_
_atom_site_label
_atom_site_type_symbol
_atom_site_fract_x
_atom_site_fract_y
_atom_site_fract_z
Ac1 Ac 0.0000 0.0000 0.0000
Pa1 Pa 0.0000 0.0000 0.5000
N1 N 0.0000 0.0000 0.2280
```

Calculated total energy = -9.00 eV/atom